VASP calculation (PBE) on an optimized crystal structure of InSn2SeO.

The calculation puts the uncorrected energy at -15.5 eV per cell. For the spin magnetization, the calculation gives 0.00 μB per formula unit.

The space group is P4/mmm (No. 123) and the conventional cell measures 5.582, 5.582 and 5.545 Å, with angles of 90.00, 90.00 and 90.00 degrees. Symmetry generates all atoms from In at (0.000, 0.000, 0.000), Sn at (0.000, 0.500, 0.500), Se at (0.000, 0.000, 0.500) and O at (0.500, 0.500, 0.000).